# AgWAu2

A relaxed structure of AgWAu2 (GGA-PBEsol, Alexandria).

abc: 2.727 4.910 4.993
angles: 90.00 90.00 90.00
Atoms (fractional coordinates):
Au 0.000 0.000 0.000
Au 0.500 0.000 0.500
Ag 0.000 0.500 0.500
W 0.500 0.500 0.000

Summary:
Magnetic moment ... 0.00 μB/f.u.
Relative energy among the computed polymorphs ... 203 meV/atom
Energy relative to the elements ... 0.538 eV per atom